# Na2Sr3Br8, relaxed, DFT PBE
# DOS(E_F): 0.0000 states/eV/atom
# ΔE_f (raw): -1.927 eV/atom
# crystal system: monoclinic
data_Na2Sr3Br8
_chemical_formula_sum 'Na4 Sr6 Br16'
_space_group_name_H-M_alt 'C 1 2/m 1'
_space_group_IT_number 12
_cell_length_a 14.459
_cell_length_b 8.914
_cell_length_c 7.863
_cell_angle_alpha 90.00
_cell_angle_beta 99.53
_cell_angle_gamma 90.00
loop_
_space_group_symop_operation_xyz
'x,y,z'
'-x,-y,-z'
'-x,y,-z'
'x,-y,z'
'x+1/2,y+1/2,z'
'-x+1/2,-y+1/2,-z'
'-x+1/2,y+1/2,-z'
'x+1/2,-y+1/2,z'
loop_
_atom_site_label
_atom_site_type_symbol
_atom_site_fract_x
_atom_site_fract_y
_atom_site_fract_z
Na1 Na 0.211 0.000 0.072
Sr1 Sr 0.000 0.246 0.500
Sr2 Sr 0.000 0.500 0.000
Br1 Br 0.113 0.000 0.366
Br2 Br 0.113 0.500 0.363
Br3 Br 0.127 0.270 0.860